Here is KCaAuO2 after structural relaxation from Alexandria via LeMat-Bulk. Energies are from GGA-PBE.

The structure in POSCAR format:
```
KCaAuO2
1.0
-3.922 3.299 -0.269
-3.219 -3.433 4.831
4.367 5.355 2.007
Au O Ca K
2 4 2 2
Direct
0.000 0.500 0.000 Au
0.000 0.000 0.000 Au
0.683 0.901 0.802 O
0.317 0.401 0.802 O
0.683 0.599 0.198 O
0.317 0.099 0.198 O
0.500 0.750 0.000 Ca
0.500 0.250 0.000 Ca
0.295 0.750 0.500 K
0.705 0.250 0.500 K
```

Computed properties:
Total DFT energy (no corrections), eV/atom: -4.76
Crystal system: orthorhombic
Energy relative to the elements, uncorrected, meV/atom: -1500
DOS(E_F), states/eV/cell: 0.00
Total moment, μB per formula unit: 0.000
Symmetry: Cmme (67)

=====

Here is AuSeBr2 after structural relaxation from Alexandria via LeMat-Bulk. Energies are from GGA-PBE.

The structure in POSCAR format:
```
AuSeBr2
1.0
3.840 0.000 0.000
0.000 8.083 0.000
0.000 0.000 3.897
Au Br Se
1 2 1
Direct
0.000 0.500 0.500 Au
0.500 0.500 0.000 Br
0.000 0.000 0.000 Br
0.500 0.000 0.500 Se
```

Computed properties:
Relative energy among the computed polymorphs, eV/f.u.: 1.305
Total DFT energy (no corrections), eV/atom: -2.25
Crystal system: orthorhombic
Energy relative to the elements, uncorrected, meV/atom: 281
DOS(E_F), states/eV/cell: 2.28
Total moment, μB per formula unit: 0.000
Symmetry: Pmmm (47)

=====

Here is Sc6PdRh2 after structural relaxation from Alexandria via LeMat-Bulk. Energies are from GGA-PBE.

The structure in POSCAR format:
```
Sc6PdRh2
1.0
4.458 0.000 1.484
2.229 5.395 0.741
0.004 0.001 7.425
Sc Rh Pd
6 2 1
Direct
0.686 0.787 0.840 Sc
0.644 0.212 0.500 Sc
0.314 0.213 0.160 Sc
0.026 0.787 0.160 Sc
0.974 0.213 0.840 Sc
0.356 0.788 0.500 Sc
0.664 0.500 0.171 Rh
0.336 0.500 0.829 Rh
0.000 0.500 0.500 Pd
```

Computed properties:
Total DFT energy (no corrections), eV/atom: -7.03
Formation energy from the elements, kJ/mol of atoms: -58.0
Crystal system: orthorhombic
DOS(E_F), states/eV/cell: 9.07
Total moment, μB per formula unit: 2.746
Symmetry: Fmmm (69)

=====

Here is Ba12Hg3F5 after structural relaxation from Alexandria via LeMat-Bulk. Energies are from GGA-PBE.

The structure in POSCAR format:
```
Ba12Hg3F5
1.0
-8.976 2.252 12.956
-8.082 -8.695 -10.610
13.357 -7.654 4.062
F Ba Hg
20 48 12
Direct
0.000 0.000 0.000 F
0.750 0.125 0.875 F
0.625 0.750 0.875 F
0.500 0.000 0.000 F
0.000 0.500 0.000 F
0.125 0.375 0.250 F
0.000 0.500 0.500 F
0.375 0.250 0.125 F
0.250 0.875 0.125 F
0.000 0.000 0.500 F
0.500 0.000 0.500 F
0.250 0.375 0.625 F
0.125 0.750 0.375 F
0.500 0.500 0.000 F
0.375 0.125 0.750 F
0.750 0.625 0.375 F
0.875 0.250 0.625 F
0.875 0.625 0.750 F
0.500 0.500 0.500 F
0.625 0.875 0.250 F
0.188 0.092 0.709 Ba
0.904 0.092 0.882 Ba
0.021 0.404 0.812 Ba
0.118 0.709 0.521 Ba
0.479 0.791 0.882 Ba
0.592 0.709 0.688 Ba
0.596 0.618 0.408 Ba
0.521 0.209 0.118 Ba
0.979 0.596 0.188 Ba
0.709 0.592 0.188 Ba
0.209 0.688 0.092 Ba
0.596 0.979 0.688 Ba
0.021 0.618 0.709 Ba
0.408 0.118 0.596 Ba
0.812 0.904 0.021 Ba
0.291 0.408 0.812 Ba
0.291 0.882 0.979 Ba
0.688 0.209 0.592 Ba
0.882 0.592 0.904 Ba
0.618 0.021 0.209 Ba
0.404 0.021 0.312 Ba
0.404 0.382 0.592 Ba
0.118 0.408 0.096 Ba
0.479 0.688 0.096 Ba
0.382 0.979 0.791 Ba
0.688 0.479 0.596 Ba
0.408 0.291 0.312 Ba
0.096 0.188 0.479 Ba
0.592 0.882 0.404 Ba
0.382 0.404 0.092 Ba
0.812 0.908 0.291 Ba
0.908 0.812 0.791 Ba
0.791 0.312 0.908 Ba
0.312 0.521 0.404 Ba
0.618 0.596 0.908 Ba
0.312 0.791 0.408 Ba
0.209 0.521 0.618 Ba
0.904 0.812 0.521 Ba
0.096 0.908 0.118 Ba
0.791 0.479 0.382 Ba
0.092 0.188 0.209 Ba
0.882 0.291 0.479 Ba
0.908 0.096 0.618 Ba
0.188 0.096 0.979 Ba
0.092 0.904 0.382 Ba
0.979 0.382 0.291 Ba
0.709 0.118 0.021 Ba
0.521 0.312 0.904 Ba
0.125 0.250 0.875 Hg
0.625 0.375 0.750 Hg
0.250 0.625 0.875 Hg
0.375 0.750 0.625 Hg
0.375 0.625 0.250 Hg
0.625 0.250 0.375 Hg
0.750 0.875 0.625 Hg
0.875 0.750 0.125 Hg
0.875 0.125 0.250 Hg
0.250 0.125 0.375 Hg
0.125 0.875 0.750 Hg
0.750 0.375 0.125 Hg
```

Computed properties:
Total DFT energy (no corrections), eV/atom: -3.16
Crystal system: cubic
Energy relative to the elements, uncorrected, meV/atom: -1498
DOS(E_F), states/eV/cell: 66.71
Total moment, μB per formula unit: 2.345
Symmetry: Ia-3d (230)

=====

Here is ScSb4Br after structural relaxation from Alexandria via LeMat-Bulk. Energies are from GGA-PBE.

The structure in POSCAR format:
```
ScSb4Br
1.0
3.999 -0.603 4.719
-0.859 3.237 5.235
-1.750 -2.913 5.203
Sc Br Sb
1 1 4
Direct
0.750 0.750 0.750 Sc
0.000 0.000 0.000 Br
0.374 0.374 0.374 Sb
0.374 0.877 0.374 Sb
0.374 0.374 0.877 Sb
0.877 0.374 0.374 Sb
```

Computed properties:
Total DFT energy (no corrections), eV/atom: -4.06
Crystal system: cubic
Energy relative to the elements, uncorrected, meV/atom: 25
DOS(E_F), states/eV/cell: 2.89
Total moment, μB per formula unit: 0.000
Symmetry: F-43m (216)

=====

Here is KWSe2 after structural relaxation from Alexandria via LeMat-Bulk. Energies are from GGA-PBE.

The structure in POSCAR format:
```
KWSe2
1.0
8.201 -0.001 -0.006
6.778 4.617 0.006
-7.460 -2.402 2.414
K Se W
1 2 1
Direct
0.697 0.197 0.500 K
0.331 0.831 0.500 Se
0.024 0.024 0.000 Se
0.449 0.449 0.000 W
```

Computed properties:
Relative energy among the computed polymorphs, eV/f.u.: 0.333
Total DFT energy (no corrections), eV/atom: -5.50
Crystal system: orthorhombic
Energy relative to the elements, uncorrected, meV/atom: -240
DOS(E_F), states/eV/cell: 2.85
Total moment, μB per formula unit: 0.571
Symmetry: Imm2 (44)

=====

Here is Y2ZnRhC after structural relaxation from Alexandria via LeMat-Bulk. Energies are from GGA-PBE.

The structure in POSCAR format:
```
Y2ZnRhC
1.0
-4.239 -2.036 -1.650
2.288 -1.344 -4.218
1.001 -3.402 1.627
Zn Rh Y C
1 1 2 1
Direct
0.500 0.500 0.500 Zn
0.000 0.000 0.500 Rh
0.500 0.000 0.000 Y
0.000 0.500 0.000 Y
0.000 0.000 0.000 C
```

Computed properties:
Total DFT energy (no corrections), eV/atom: -6.60
Formation energy from the elements, kJ/mol of atoms: -43.0
Crystal system: tetragonal
DOS(E_F), states/eV/cell: 2.65
Total moment, μB per formula unit: 0.000
Symmetry: P4/mmm (123)

=====

Here is Ho2SnBRh6 after structural relaxation from Alexandria via LeMat-Bulk. Energies are from GGA-PBE.

The structure in POSCAR format:
```
Ho2SnBRh6
1.0
-3.347 4.776 -2.515
-3.499 0.334 5.295
-0.514 5.507 3.126
Rh Ho Sn B
6 2 1 1
Direct
0.725 0.725 0.000 Rh
0.725 0.725 0.550 Rh
0.275 0.275 0.450 Rh
0.275 0.725 0.000 Rh
0.275 0.275 0.000 Rh
0.725 0.275 0.000 Rh
0.750 0.250 0.500 Ho
0.250 0.750 0.500 Ho
0.000 0.000 0.000 Sn
0.500 0.500 0.000 B
```

Computed properties:
Total DFT energy (no corrections), eV/atom: -6.83
Formation energy from the elements, kJ/mol of atoms: -41.6
Crystal system: cubic
DOS(E_F), states/eV/cell: 8.40
Total moment, μB per formula unit: 0.000
Symmetry: Fm-3m (225)

=====

Here is Sr3Al2Si2 after structural relaxation from Alexandria via LeMat-Bulk. Energies are from GGA-PBE.

The structure in POSCAR format:
```
Sr3Al2Si2
1.0
10.147 -0.002 0.000
8.124 6.080 0.000
-8.995 -3.461 3.174
Sr Si Al
3 2 2
Direct
0.000 0.500 0.500 Sr
0.185 0.185 0.000 Sr
0.815 0.815 0.000 Sr
0.361 0.361 0.000 Si
0.639 0.639 0.000 Si
0.433 0.933 0.500 Al
0.567 0.067 0.500 Al
```

Computed properties:
Relative energy among the computed polymorphs, eV/f.u.: 0.000
Total DFT energy (no corrections), eV/atom: -3.75
Crystal system: orthorhombic
Energy relative to the elements, uncorrected, meV/atom: -410
DOS(E_F), states/eV/cell: 2.41
Total moment, μB per formula unit: 0.000
Symmetry: Immm (71)

=====

Here is Ho4AgSn after structural relaxation from Alexandria via LeMat-Bulk. Energies are from GGA-PBE.

The structure in POSCAR format:
```
Ho4AgSn
1.0
5.357 0.000 0.000
0.000 6.414 0.000
-2.679 0.000 10.465
Ho Ag Sn
8 2 2
Direct
0.124 0.822 0.247 Ho
0.558 0.323 0.116 Ho
0.876 0.322 0.753 Ho
0.296 0.578 0.592 Ho
0.296 0.067 0.592 Ho
0.442 0.823 0.884 Ho
0.704 0.078 0.408 Ho
0.704 0.567 0.408 Ho
0.578 0.822 0.157 Ag
0.422 0.322 0.843 Ag
0.154 0.322 0.308 Sn
0.846 0.822 0.692 Sn
```

Computed properties:
Total DFT energy (no corrections), eV/atom: -4.38
Formation energy from the elements, kJ/mol of atoms: -17.8
Crystal system: orthorhombic
DOS(E_F), states/eV/cell: 11.94
Total moment, μB per formula unit: 0.000
Symmetry: Cmcm (63)

=====

Here is Li2AgB2Pt5 after structural relaxation from Alexandria via LeMat-Bulk. Energies are from GGA-PBE.

The structure in POSCAR format:
```
Li2AgB2Pt5
1.0
3.015 0.000 0.000
0.000 9.680 0.000
0.000 0.000 9.680
B Li Pt Ag
4 4 10 2
Direct
0.000 0.372 0.128 B
0.000 0.128 0.628 B
0.000 0.872 0.372 B
0.000 0.628 0.872 B
0.000 0.323 0.823 Li
0.000 0.677 0.177 Li
0.000 0.177 0.323 Li
0.000 0.823 0.677 Li
0.500 0.071 0.776 Pt
0.500 0.929 0.224 Pt
0.500 0.500 0.000 Pt
0.500 0.776 0.929 Pt
0.500 0.224 0.071 Pt
0.500 0.571 0.724 Pt
0.500 0.276 0.571 Pt
0.500 0.429 0.276 Pt
0.500 0.000 0.500 Pt
0.500 0.724 0.429 Pt
0.000 0.500 0.500 Ag
0.000 0.000 0.000 Ag
```

Computed properties:
Total DFT energy (no corrections), eV/atom: -5.42
Formation energy from the elements, kJ/mol of atoms: -38.0
Crystal system: tetragonal
DOS(E_F), states/eV/cell: 2.85
Total moment, μB per formula unit: 0.000
Symmetry: P4/mbm (127)

=====

Here is LaScBr2 after structural relaxation from Alexandria via LeMat-Bulk. Energies are from GGA-PBE.

The structure in POSCAR format:
```
LaScBr2
1.0
5.034 0.000 0.000
0.000 5.034 0.000
2.517 2.517 9.593
Br La Sc
4 2 2
Direct
0.375 0.395 0.750 Br
0.605 0.125 0.250 Br
0.875 0.855 0.750 Br
0.145 0.625 0.250 Br
0.000 0.000 0.000 La
0.750 0.250 0.500 La
0.500 0.500 0.000 Sc
0.250 0.750 0.500 Sc
```

Computed properties:
Relative energy among the computed polymorphs, eV/f.u.: 1.158
Total DFT energy (no corrections), eV/atom: -4.47
Crystal system: tetragonal
Energy relative to the elements, uncorrected, meV/atom: -821
DOS(E_F), states/eV/cell: 9.29
Total moment, μB per formula unit: 0.001
Symmetry: I-42d (122)

=====

Question: Look up the DOS(E_F) of the third one.
Answer: 9.07 states/eV/cell

=====

Question: What is the formula in the fifth record?
Answer: ScSb4Br

=====

Question: Which value of total DFT energy (no corrections) does entry 3 give?
Answer: -7.03 eV/atom